(1)
The following is a GGA-PBE calculation of an optimized crystal structure of PrGd2Mg3ZnIn2, from OQMD via LeMat-Bulk.

Output
The value obtained for the total energy is -3.205 eV per atom. As for the calculated density: 5935 kg/m³. As for the total magnetic moment: 0.01 μB/f.u.

extended XYZ file:
```
9
Lattice="-1.895 0.061 -4.252 -0.546 -7.569 0.134 -5.657 4.350 2.583" Properties=species:S:1:pos:R:3 pbc="T T T"
Gd -0.333 -4.460 0.084
Gd -3.341 2.554 1.526
In -3.196 -3.606 -1.176
In -4.929 0.435 -0.346
Mg -2.821 -6.512 -1.385
Mg -5.684 -2.427 -0.051
Mg -6.729 2.601 0.487
Pr -2.560 -1.328 1.121
Zn -6.159 -3.196 2.698
```


(2)
The following is a GGA-PBE calculation of an optimized crystal structure of Pr2GdMg3ZnIn2, from OQMD via LeMat-Bulk.

Output
The value obtained for the total energy is -3.220 eV per atom. As for the calculated density: 5683 kg/m³. As for the total magnetic moment: 0.01 μB/f.u.

extended XYZ file:
```
9
Lattice="-2.471 3.182 2.420 -5.317 -5.218 1.432 5.792 0.825 4.829" Properties=species:S:1:pos:R:3 pbc="T T T"
Gd 0.281 -2.603 3.710
In -2.814 -1.603 3.798
In 0.819 0.373 4.909
Mg -1.124 0.562 2.677
Mg -2.125 -2.994 6.331
Mg 0.491 -1.571 7.131
Pr -2.175 -2.143 0.596
Pr 2.371 0.330 1.987
Zn 0.472 -4.363 6.218
```


(3)
The following is a GGA-PBE calculation of an optimized crystal structure of Gd3Mg3In2Pt, from OQMD via LeMat-Bulk.

Output
The value obtained for the total energy is -3.921 eV per atom. As for the calculated density: 7260 kg/m³. As for the total magnetic moment: 0.01 μB/f.u.

extended XYZ file:
```
9
Lattice="-0.848 6.138 4.270 1.146 -6.700 3.228 4.465 0.704 -0.125" Properties=species:S:1:pos:R:3 pbc="T T T"
Gd -0.510 3.697 2.571
Gd 0.119 -0.223 2.982
Gd 0.690 -4.035 1.944
In 2.049 2.210 3.860
In 2.714 -2.069 3.513
Mg 2.036 1.774 0.927
Mg 2.498 -1.200 0.685
Mg 2.462 -0.080 5.698
Pt 0.000 0.000 0.000
```


(4)
The following is a GGA-PBE calculation of an optimized crystal structure of GdMgInS3, from OQMD via LeMat-Bulk.

Output
The value obtained for the total energy is -4.869 eV per atom. As for the calculated density: 4155 kg/m³. As for the total magnetic moment: 0.00 μB/f.u.

extended XYZ file:
```
12
Lattice="2.046 -7.033 0.000 2.046 7.033 0.000 0.000 0.000 10.902" Properties=species:S:1:pos:R:3 pbc="T T T"
Gd 0.000 0.000 0.000
Gd 0.000 0.000 5.451
In 2.046 3.495 2.725
In 2.046 -3.495 8.176
Mg 2.046 -0.527 2.725
Mg 2.046 0.527 8.176
S 2.046 -1.751 0.663
S 2.046 -6.170 2.725
S 2.046 -1.751 4.788
S 2.046 1.751 6.114
S 2.046 6.170 8.176
S 2.046 1.751 10.239
```


(5)
The following is a GGA-PBE calculation of an optimized crystal structure of GdMgSc2In2, from OQMD via LeMat-Bulk.

Output
The value obtained for the total energy is -4.422 eV per atom. As for the calculated density: 5743 kg/m³. As for the total magnetic moment: 0.00 μB/f.u.

extended XYZ file:
```
6
Lattice="5.123 0.000 0.000 -2.562 4.437 0.000 0.000 0.000 6.374" Properties=species:S:1:pos:R:3 pbc="T T T"
Gd 0.000 0.000 3.187
In 0.000 2.958 1.870
In 2.562 1.479 4.504
Mg 0.000 0.000 0.000
Sc 2.562 1.479 1.164
Sc 0.000 2.958 5.210
```


(6)
The following is a GGA-PBE calculation of an optimized crystal structure of Tb2GdMg3In3, from OQMD via LeMat-Bulk.

Output
The value obtained for the total energy is -3.378 eV per atom. As for the calculated density: 6417 kg/m³. As for the total magnetic moment: 0.00 μB/f.u.

extended XYZ file:
```
9
Lattice="-2.752 2.898 -2.454 -4.168 1.260 6.161 5.955 4.382 -1.501" Properties=species:S:1:pos:R:3 pbc="T T T"
Gd 1.010 3.190 2.635
In 0.001 0.005 0.004
In -2.174 3.748 2.382
In 1.208 4.791 -0.178
Mg -4.538 2.405 3.446
Mg -0.944 2.812 -0.102
Mg 3.141 4.773 -2.366
Tb -1.582 3.162 5.508
Tb 4.144 4.928 1.174
```


(7)
The following is a GGA-PBE calculation of an optimized crystal structure of TbGd2Mg3TlIn2, from OQMD via LeMat-Bulk.

Output
The value obtained for the total energy is -3.321 eV per atom. As for the calculated density: 7010 kg/m³. As for the total magnetic moment: 0.00 μB/f.u.

extended XYZ file:
```
9
Lattice="-2.934 -2.065 3.014 -1.528 -5.333 -5.141 5.698 -0.977 4.878" Properties=species:S:1:pos:R:3 pbc="T T T"
Gd -0.661 -2.306 -2.223
Gd 2.463 -0.422 2.109
In -0.586 -4.913 -0.294
In 1.821 -3.462 3.044
Mg -2.625 -5.071 -2.386
Mg -0.455 -2.565 1.443
Mg 2.847 -1.772 5.201
Tb 2.367 -3.582 -0.150
Tl 4.169 -6.309 -0.264
```


(8)
The following is a GGA-PBE calculation of an optimized crystal structure of Tb2GdMg3TlIn2, from OQMD via LeMat-Bulk.

Output
The value obtained for the total energy is -3.315 eV per atom. As for the calculated density: 7040 kg/m³. As for the total magnetic moment: 0.00 μB/f.u.

extended XYZ file:
```
9
Lattice="4.682 0.000 0.000 0.000 6.547 3.778 0.000 -6.547 3.778" Properties=species:S:1:pos:R:3 pbc="T T T"
Gd 0.000 0.000 3.267
In 2.341 2.184 3.778
In 2.341 -2.184 3.778
Mg 2.341 1.590 0.917
Mg 2.341 -1.590 0.917
Mg 2.341 0.000 5.722
Tb 0.000 3.717 2.145
Tb 0.000 -3.717 2.145
Tl 0.000 0.000 0.000
```


(9)
The following is a GGA-PBE calculation of an optimized crystal structure of Gd2Mg2TlIn, from OQMD via LeMat-Bulk.

Output
The value obtained for the total energy is -3.262 eV per atom. As for the calculated density: 7319 kg/m³. As for the total magnetic moment: 0.02 μB/f.u.

extended XYZ file:
```
6
Lattice="-0.348 4.406 2.139 -2.064 -0.768 -4.388 -6.284 -2.110 3.324" Properties=species:S:1:pos:R:3 pbc="T T T"
Gd -2.506 2.149 0.802
Gd -5.638 1.097 2.459
In -2.978 -1.000 1.575
Mg -0.181 -0.061 0.096
Mg -4.779 -0.147 -0.474
Tl -7.593 -1.092 1.015
```


(10)
The following is a GGA-PBE calculation of an optimized crystal structure of Gd3Mg3Tl2In, from OQMD via LeMat-Bulk.

Output
The value obtained for the total energy is -3.261 eV per atom. As for the calculated density: 7607 kg/m³. As for the total magnetic moment: 0.00 μB/f.u.

extended XYZ file:
```
9
Lattice="-7.180 -2.315 0.638 4.414 0.382 6.139 -1.368 4.439 0.708" Properties=species:S:1:pos:R:3 pbc="T T T"
Gd -4.070 -1.312 0.361
Gd -1.198 -0.837 2.935
Gd 2.502 0.216 3.480
In 0.000 0.000 0.000
Mg -2.417 1.660 0.508
Mg 0.381 2.311 1.836
Mg -2.783 0.753 5.495
Tl -3.999 0.803 2.825
Tl -0.135 1.702 4.659
```


(11)
The following is a GGA-PBE calculation of an optimized crystal structure of GdTm2Mg4In2, from OQMD via LeMat-Bulk.

Output
The value obtained for the total energy is -3.072 eV per atom. As for the calculated density: 5964 kg/m³. As for the total magnetic moment: 0.00 μB/f.u.

extended XYZ file:
```
9
Lattice="-3.478 2.858 1.162 0.157 -2.681 7.064 4.240 5.949 -1.938" Properties=species:S:1:pos:R:3 pbc="T T T"
Gd 1.919 1.426 2.237
In -0.219 1.616 4.670
In 1.156 4.522 1.638
Mg -1.700 0.780 2.294
Mg -0.710 2.871 0.112
Mg 1.586 3.900 4.458
Mg 4.377 3.253 5.103
Tm 0.096 -1.501 3.978
Tm 2.390 3.348 -1.080
```


(12)
The following is a GGA-PBE calculation of an optimized crystal structure of Gd2YMg3ZnIn2, from OQMD via LeMat-Bulk.

Output
The value obtained for the total energy is -3.397 eV per atom. As for the calculated density: 5718 kg/m³. As for the total magnetic moment: 0.00 μB/f.u.

extended XYZ file:
```
9
Lattice="-2.023 -2.658 3.152 -1.758 -4.977 -5.324 6.512 -0.609 3.665" Properties=species:S:1:pos:R:3 pbc="T T T"
Gd -0.726 -2.062 -2.205
Gd 2.697 -0.254 1.517
In -0.006 -4.849 -0.747
In 2.741 -3.398 2.239
Mg -2.355 -5.132 -2.493
Mg 0.106 -2.642 1.186
Mg 3.965 -1.794 4.377
Y 2.789 -3.277 -0.973
Zn 4.748 -5.579 -1.657
```